Tb4Pm7Sc: optimized geometry, PBE.

- density of states at the Fermi level (states/eV/f.u.) = 15.97
- V (Å³ per atom) = 32.83
- E_tot (eV per atom) = -4.8229
- total magnetic moment (μB per formula unit) = 0.00
- distance to the lowest polymorph of the same formula (meV/atom) = 0.0
- energy of formation from the pure elements (eV per atom) = 0.019

Cell: 6.2699 7.2346 8.9349 Å, 89.97 76.45 89.98°
Space group P-1 (No. 2)
Symmetry-distinct sites (fractional):
Tb  0.2237  0.9996  0.3354
Tb  0.2763  0.2517  0.6703
Pm  0.0000  0.0000  0.0000
Pm  0.2186  0.4997  0.3321
Pm  0.2768  0.7483  0.6691
Pm  0.4991  0.2508  0.9996
Sc  0.0000  0.5000  0.0000

TbPm10Sc4: optimized geometry, PBE.

- density of states at the Fermi level (states/eV/f.u.) = 15.83
- V (Å³ per atom) = 34.23
- E_tot (eV per atom) = -4.6279
- total magnetic moment (μB per formula unit) = 0.00
- energy of formation from the pure elements (eV per atom) = 0.536

Cell: 11.1996 11.1996 8.1871 Å, 90.00 90.00 90.00°
Space group I4/m (No. 87)
Symmetry-distinct sites (fractional):
Tb  0.0000  0.0000  0.0000
Pm  0.0000  0.5000  0.2500
Pm  0.1143  0.7704  0.1956
Sc  0.0662  0.2114  0.5000

Tb3Pm2Sc2: optimized geometry, PBE.

- density of states at the Fermi level (states/eV/f.u.) = 10.16
- V (Å³ per atom) = 30.32
- E_tot (eV per atom) = -5.1053
- total magnetic moment (μB per formula unit) = 0.00
- distance to the lowest polymorph of the same formula (meV/atom) = 0.0
- energy of formation from the pure elements (eV per atom) = 0.045

Cell: 10.9993 4.9712 7.8483 Å, 90.00 98.43 90.00°
Space group C2/m (No. 12)
Symmetry-distinct sites (fractional):
Tb  0.0000  0.0000  0.0000
Tb  0.1440  0.0000  0.4298
Pm  0.0725  0.5000  0.7233
Sc  0.2156  0.5000  0.1401

Tb2Pm3ScTe6: optimized geometry, PBE.

- density of states at the Fermi level (states/eV/f.u.) = 6.79
- V (Å³ per atom) = 29.86
- E_tot (eV per atom) = -5.3783
- total magnetic moment (μB per formula unit) = 0.00
- formation energy from raw total energies (eV per atom) = -1.32

Cell: 19.1709 4.3575 8.8368 Å, 90.00 103.86 90.00°
Space group C2/m (No. 12)
Symmetry-distinct sites (fractional):
Tb  0.1673  0.0000  0.3338
Pm  0.0000  0.5000  0.5000
Pm  0.1720  0.0000  0.8374
Sc  0.0000  0.5000  0.0000
Te  0.9997  0.0000  0.2342
Te  0.1582  0.5000  0.0847
Te  0.1679  0.5000  0.5796

Tb3Pm2ScTe6: optimized geometry, PBE.

- density of states at the Fermi level (states/eV/f.u.) = 7.25
- V (Å³ per atom) = 29.59
- E_tot (eV per atom) = -5.3491
- total magnetic moment (μB per formula unit) = 0.00
- formation energy from raw total energies (eV per atom) = -1.30

Cell: 19.0602 4.3510 8.7796 Å, 90.00 102.75 90.00°
Space group C2/m (No. 12)
Symmetry-distinct sites (fractional):
Tb  0.0000  0.0000  0.0000
Tb  0.1756  0.5000  0.3375
Pm  0.1695  0.5000  0.8350
Sc  0.0000  0.0000  0.5000
Te  0.0041  0.5000  0.2622
Te  0.1582  0.0000  0.5736
Te  0.1631  0.0000  0.0875

Tb2PmScTe6: optimized geometry, PBE.

- V (Å³ per atom) = 35.57
- E_tot (eV per atom) = -5.2360
- total magnetic moment (μB per formula unit) = 0.00
- formation energy from raw total energies (eV per atom) = -1.32

Cell: 7.6636 7.6636 20.9795 Å, 90.00 90.00 120.00°
Space group R3 (No. 146, hexagonal axes)
Symmetry-distinct sites (fractional):
Tb  0.0000  0.0000  0.0000
Tb  0.0000  0.0000  0.4975
Pm  0.0000  0.0000  0.1859
Sc  0.0000  0.0000  0.6830
Te  0.0001  0.6956  0.5956
Te  0.0181  0.3356  0.7576

Tb2PmThSc: optimized geometry, PBE.

- density of states at the Fermi level (states/eV/f.u.) = 7.41
- V (Å³ per atom) = 30.99
- E_tot (eV per atom) = -5.4970
- total magnetic moment (μB per formula unit) = 0.00
- energy of formation from the pure elements (eV per atom) = 0.055

Cell: 7.8283 5.0174 7.8895 Å, 90.00 90.37 90.00°
Space group P2_1/m (No. 11)
Symmetry-distinct sites (fractional):
Tb  0.1534  0.2500  0.4515
Tb  0.3415  0.2500  0.0533
Pm  0.2515  0.7500  0.7547
Th  0.4453  0.7500  0.3512
Sc  0.0504  0.7500  0.1495

Tb4Pm2ThSc: optimized geometry, PBE.

- density of states at the Fermi level (states/eV/f.u.) = 16.33
- V (Å³ per atom) = 31.73
- E_tot (eV per atom) = -5.0804
- total magnetic moment (μB per formula unit) = 0.00
- energy of formation from the pure elements (eV per atom) = 0.141

Cell: 5.8925 5.8925 7.3112 Å, 90.00 90.00 90.00°
Space group P4/mmm (No. 123)
Symmetry-distinct sites (fractional):
Tb  0.0000  0.5000  0.2410
Pm  0.0000  0.0000  0.5000
Pm  0.5000  0.5000  0.5000
Th  0.0000  0.0000  0.0000
Sc  0.5000  0.5000  0.0000

> Look up the V of the second one.

34.23 Å³ per atom

Copy entry 1 word for word.
Tb4Pm7Sc: optimized geometry, PBE.

- density of states at the Fermi level (states/eV/f.u.) = 15.97
- V (Å³ per atom) = 32.83
- E_tot (eV per atom) = -4.8229
- total magnetic moment (μB per formula unit) = 0.00
- distance to the lowest polymorph of the same formula (meV/atom) = 0.0
- energy of formation from the pure elements (eV per atom) = 0.019

Cell: 6.2699 7.2346 8.9349 Å, 89.97 76.45 89.98°
Space group P-1 (No. 2)
Symmetry-distinct sites (fractional):
Tb  0.2237  0.9996  0.3354
Tb  0.2763  0.2517  0.6703
Pm  0.0000  0.0000  0.0000
Pm  0.2186  0.4997  0.3321
Pm  0.2768  0.7483  0.6691
Pm  0.4991  0.2508  0.9996
Sc  0.0000  0.5000  0.0000